No. 1
First-principles (GGA-PBE) data for crystalline TcTe at its relaxed geometry, as listed in Alexandria.

Values from the calculation:
Calculated volume in Å³/atom: 21.9
E above lowest polymorph in meV/atom: 25.3
SG: P4/nmm
Theoretical density in g cm⁻³: 8.6
Total energy in Ry/atom: -0.48977

a b c (Å): 3.1658 3.1658 8.7419
angles (deg): 90.00 90.00 90.00
Fractional coordinates of all 4 atoms:
Te  0.0000  0.5000  0.2818
Tc  0.0000  0.5000  0.8959
Te  0.5000  0.0000  0.7182
Tc  0.5000  0.0000  0.1041

No. 2
First-principles (GGA-PBE) data for crystalline TcTe at its relaxed geometry, as listed in Alexandria.

Values from the calculation:
Calculated volume in Å³/atom: 19.4
E above lowest polymorph in meV/atom: 439.6
SG: Imma
Theoretical density in g cm⁻³: 9.6
Total energy in Ry/atom: -0.45932

a b c (Å): 5.9067 5.9067 5.9067
angles (deg): 147.77 134.55 56.81
Fractional coordinates of all 4 atoms:
Tc  0.0240  0.0240  0.0000
Te  0.5145  0.5145  0.0000
Te  0.2355  0.7355  0.5000
Tc  0.7260  0.2260  0.5000

No. 3
First-principles (GGA-PBE) data for crystalline Tc3Te at its relaxed geometry, as listed in Alexandria.

Values from the calculation:
Calculated volume in Å³/atom: 16.1
E above lowest polymorph in meV/atom: 0.0
SG: P4/mmm
Theoretical density in g cm⁻³: 10.8
Total energy in Ry/atom: -0.60635

a b c (Å): 3.0909 3.0909 6.7563
angles (deg): 90.00 90.00 90.00
Fractional coordinates of all 4 atoms:
Tc  0.0000  0.0000  0.9921
Tc  0.0000  0.0000  0.5079
Tc  0.5000  0.5000  0.7500
Te  0.5000  0.5000  0.2500

Question: Which value of total energy does entry 2 give?
Answer: -0.45932 Ry/atom

Question: Which formula does entry 1 have?
Answer: TcTe

Question: Which of these has the highest total energy?
Answer: number 2